No. 1
The following is a PBE calculation of crystalline Sr3AlGe2Au6 at its relaxed geometry, from the Alexandria database.

Results
Calculated formation energy in kJ/mol of atoms: -50

Cell and atoms, written as POSCAR:
```
Sr3AlGe2Au6
1.0
6.6504 0.0000 0.0000
-3.3252 5.7594 0.0000
0.0000 0.0000 8.0211
Sr Au Al Ge
3 6 1 2
Direct
0.3333 0.6667 0.6797 Sr
0.0000 0.0000 0.0000 Sr
0.6667 0.3333 0.3203 Sr
0.1812 0.8188 0.3191 Au
0.8188 0.1812 0.6809 Au
0.6375 0.8188 0.3191 Au
0.1812 0.3625 0.3191 Au
0.8188 0.6375 0.6809 Au
0.3625 0.1812 0.6809 Au
0.0000 0.0000 0.5000 Al
0.3333 0.6667 0.0815 Ge
0.6667 0.3333 0.9185 Ge
```



No. 2
The following is a PBE calculation of crystalline LiZrSn3 at its relaxed geometry, from the Alexandria database.

Results
E above lowest polymorph in meV per atom: 158
Calculated formation energy in kJ/mol of atoms: 31

Cell and atoms, written as POSCAR:
```
LiZrSn3
1.0
-2.8672 0.2666 3.9786
-3.1968 -3.0827 -2.0972
2.3834 -3.8141 1.9732
Sn Zr Li
3 1 1
Direct
0.0000 0.0000 0.5000 Sn
0.5000 0.0000 0.0000 Sn
0.0000 0.5000 0.0000 Sn
0.5000 0.5000 0.5000 Zr
0.0000 0.0000 0.0000 Li
```



No. 3
The following is a PBE calculation of crystalline Pm2Pr6Tl at its relaxed geometry, from the Alexandria database.

Results
E above lowest polymorph in meV per atom: 30
Calculated formation energy in kJ/mol of atoms: 4

Cell and atoms, written as POSCAR:
```
Pm2Pr6Tl
1.0
7.3065 0.0000 0.0000
0.0000 7.5344 -4.0732
0.0000 -4.6053 14.0690
Pr Pm Tl
12 4 2
Direct
0.7443 0.7392 0.5349 Pr
0.2450 0.2398 0.0356 Pr
0.7450 0.2602 0.4644 Pr
0.7550 0.7602 0.9644 Pr
0.0017 0.2497 0.8120 Pr
0.2550 0.7398 0.5356 Pr
0.7557 0.2392 0.0349 Pr
0.4983 0.7497 0.3120 Pr
0.2557 0.2608 0.4651 Pr
0.2443 0.7608 0.9651 Pr
0.5017 0.2503 0.6880 Pr
0.9983 0.7503 0.1880 Pr
0.5003 0.1890 0.2335 Pm
0.9997 0.6890 0.7335 Pm
0.4997 0.8110 0.7665 Pm
0.0003 0.3110 0.2665 Pm
0.5000 0.5000 0.0000 Tl
0.0000 0.0000 0.5000 Tl
```



No. 4
The following is a PBE calculation of crystalline Cr2MoPt at its relaxed geometry, from the Alexandria database.

Results
Calculated formation energy in kJ/mol of atoms: 10

Cell and atoms, written as POSCAR:
```
Cr2MoPt
1.0
-0.1709 0.5798 -2.5695
2.7822 -2.4668 -0.7417
-3.7456 -4.0263 -0.6593
Cr Pt Mo
2 1 1
Direct
0.0000 0.0000 0.5065 Cr
0.0000 0.0000 0.9935 Cr
0.5000 0.5000 0.7500 Pt
0.5000 0.5000 0.2500 Mo
```



No. 5
The following is a PBE calculation of crystalline Bi3Rh4S2 at its relaxed geometry, from the Alexandria database.

Results
Uncorrected energy in eV per atom: -5.640

Cell and atoms, written as POSCAR:
```
Bi3Rh4S2
1.0
-3.4306 -1.0471 1.0286
3.3158 -5.1680 -0.9701
1.7497 2.0015 7.8731
Bi S Rh
3 2 4
Direct
0.0000 0.0000 0.0000 Bi
0.3834 0.7668 0.6061 Bi
0.6166 0.2332 0.3939 Bi
0.6637 0.3275 0.8167 S
0.3363 0.6725 0.1833 S
0.7043 0.4085 0.1038 Rh
0.9266 0.8532 0.3365 Rh
0.2957 0.5915 0.8962 Rh
0.0734 0.1468 0.6635 Rh
```



No. 6
The following is a PBE calculation of crystalline NaPrNdAg at its relaxed geometry, from the Alexandria database.

Results
Calculated formation energy in kJ/mol of atoms: 8

Cell and atoms, written as POSCAR:
```
NaPrNdAg
1.0
5.4880 0.0000 0.0000
2.7440 4.7528 0.0000
2.7440 1.5843 4.4810
Na Pr Nd Ag
1 1 1 1
Direct
0.7500 0.7500 0.7500 Na
0.0000 0.0000 0.0000 Pr
0.5000 0.5000 0.5000 Nd
0.2500 0.2500 0.2500 Ag
```